No. 1
# KTa2Os

A geometry-optimized KTa2Os structure (PBE, Alexandria via LeMat-Bulk).

Results
* E_form: 0.628 eV/atom
* ΔE to the lowest computed polymorph: 0.0488 eV per atom
* DFT total energy: -8.38 eV/atom
* crystal system: orthorhombic

a = 3.0060 Å, b = 4.1734 Å, c = 8.0623 Å
α = 90.00°, β = 90.00°, γ = 90.00°
Closest atoms and distances in Å follow each position.
Atoms (fractional coordinates):
1 K 0.0000 0.0000 0.0000  2 K 3.01
2 Ta 0.0000 0.0000 0.4555  4 Os 2.73, 6 Ta 2.94-3.01
3 Ta 0.5000 0.5000 0.6318  1 Os 2.35
4 Os 0.5000 0.5000 0.3405  1 Ta 2.35

---

No. 2
# YPuTlOs

A geometry-optimized YPuTlOs structure (PBE, Alexandria via LeMat-Bulk).

Results
* E_form: -0.159 eV/atom
* DFT total energy: -8.76 eV/atom
* crystal system: tetragonal

a = 3.3228 Å, b = 3.3228 Å, c = 8.5719 Å
α = 90.00°, β = 90.00°, γ = 90.00°
Closest atoms and distances in Å follow each position.
Atoms (fractional coordinates):
1 Y 0.0000 0.0000 0.0000  4 Os 2.95
2 Pu 0.0000 0.0000 0.5928  4 Os 2.91
3 Tl 0.5000 0.5000 0.2951  4 Tl 3.32, 4 Y 3.45, 4 Pu 3.47
4 Os 0.5000 0.5000 0.7921  4 Pu 2.91, 4 Y 2.95

---

No. 3
# ZrGa2Rh2

A geometry-optimized ZrGa2Rh2 structure (PBE, Alexandria via LeMat-Bulk).

Results
* E_form: -0.668 eV/atom
* DFT total energy: -6.53 eV/atom
* crystal system: tetragonal

a = 7.4340 Å, b = 7.4340 Å, c = 2.8626 Å
α = 90.00°, β = 90.00°, γ = 90.00°
Closest atoms and distances in Å follow each position.
Atoms (fractional coordinates):
1 Zr 0.0000 0.0000 0.0000  2 Zr 2.86, 4 Ga 2.94, 8 Rh 3.10
2 Zr 0.5000 0.5000 0.0000  2 Zr 2.86, 4 Ga 2.94, 8 Rh 3.10
3 Ga 0.1237 0.3763 0.0000  6 Rh 2.56-2.67, 3 Ga 2.60-2.86
4 Ga 0.3763 0.8763 0.0000  6 Rh 2.56-2.67, 3 Ga 2.60-2.86
5 Ga 0.6237 0.1237 0.0000  6 Rh 2.56-2.67, 3 Ga 2.60-2.86
6 Ga 0.8763 0.6237 0.0000  6 Rh 2.56-2.67, 3 Ga 2.60-2.86
7 Rh 0.1746 0.6746 0.5000  6 Ga 2.56-2.67, 2 Rh 2.86
8 Rh 0.3254 0.1746 0.5000  6 Ga 2.56-2.67, 2 Rh 2.86
9 Rh 0.6746 0.8254 0.5000  6 Ga 2.56-2.67, 2 Rh 2.86
10 Rh 0.8254 0.3254 0.5000  6 Ga 2.56-2.67, 2 Rh 2.86

---

No. 4
# BiSe2NCl

A geometry-optimized BiSe2NCl structure (PBE, Alexandria via LeMat-Bulk).

Results
* ΔE to the lowest computed polymorph: 0.0000 eV per atom
* formation energy without anion corrections: 1.136 eV per atom
* DFT total energy: -3.07 eV/atom
* crystal system: tetragonal

a = 5.6972 Å, b = 5.6972 Å, c = 4.5974 Å
α = 90.00°, β = 90.00°, γ = 90.00°
Closest atoms and distances in Å follow each position.
Atoms (fractional coordinates):
1 Bi 0.0000 0.0000 0.0000  2 N 2.30
2 Se 0.0000 0.5000 0.0000  2 Bi 2.85
3 Se 0.5000 0.0000 0.0000  2 Bi 2.85
4 N 0.0000 0.0000 0.5000  2 Bi 2.30
5 Cl 0.5000 0.5000 0.5000  8 Se 3.66, 4 N 4.03

---

DFT total energy of number 3 (ZrGa2Rh2)?
-6.53 eV/atom

---

DFT total energy of number 2 (YPuTlOs)?
-8.76 eV/atom